[1]
An optimized crystal structure of KVSiO4, computed with PBE with a Hubbard U.

a = 5.2060 Å, b = 5.4979 Å, c = 7.2648 Å
α = 90.00°, β = 107.96°, γ = 90.00°
Last column: nearest neighbours and their distance in Å.
Space group P2_1/m (No. 11)
Symmetry-distinct sites (fractional):
K (0.1935, 0.2500, 0.4342) x2  2 O 2.58-2.68
V (0.2965, 0.2500, 0.9585) x2  6 O 1.99-2.17
Si (0.2450, 0.7500, 0.1504) x2  4 O 1.63-1.67
O (0.0147, 0.7500, 0.9372) x2  1 Si 1.64
O (0.0586, 0.7500, 0.2949) x2  1 Si 1.63
O (0.4648, 0.5235, 0.1688) x4  1 Si 1.67

raw total energy: -7.0879 eV/atom
crystal system: monoclinic


[2]
An optimized crystal structure of KSiWO6, computed with PBE with a Hubbard U.

a = 5.0708 Å, b = 5.0708 Å, c = 5.9724 Å
α = 90.00°, β = 90.00°, γ = 120.00°
Last column: nearest neighbours and their distance in Å.
Space group P312 (No. 149)
Symmetry-distinct sites (fractional):
K (0.0000, 0.0000, 0.0000) x1  6 O 2.78
Si (0.6667, 0.3333, 0.5000) x1  6 O 1.80
W (0.3333, 0.6667, 0.5000) x1  6 O 1.95
O (0.4012, 0.0217, 0.3274) x6  1 Si 1.80, 1 W 1.95

raw total energy: -6.7773 eV/atom
crystal system: trigonal


[3]
An optimized crystal structure of K2SiWO6, computed with PBE with a Hubbard U.

a = 7.6260 Å, b = 7.6260 Å, c = 7.6260 Å
α = 90.00°, β = 90.00°, γ = 90.00°
Last column: nearest neighbours and their distance in Å.
Space group Fm-3m (No. 225)
Symmetry-distinct sites (fractional):
K (0.2500, 0.2500, 0.2500) x8  12 O 2.70
Si (0.0000, 0.0000, 0.0000) x4  6 O 1.84
W (0.0000, 0.0000, 0.5000) x4  6 O 1.97
O (0.0000, 0.0000, 0.2417) x24  1 Si 1.84, 1 W 1.97

raw total energy: -6.5230 eV/atom
crystal system: cubic


Please write out number 2 again, unchanged.
An optimized crystal structure of KSiWO6, computed with PBE with a Hubbard U.

a = 5.0708 Å, b = 5.0708 Å, c = 5.9724 Å
α = 90.00°, β = 90.00°, γ = 120.00°
Last column: nearest neighbours and their distance in Å.
Space group P312 (No. 149)
Symmetry-distinct sites (fractional):
K (0.0000, 0.0000, 0.0000) x1  6 O 2.78
Si (0.6667, 0.3333, 0.5000) x1  6 O 1.80
W (0.3333, 0.6667, 0.5000) x1  6 O 1.95
O (0.4012, 0.0217, 0.3274) x6  1 Si 1.80, 1 W 1.95

raw total energy: -6.7773 eV/atom
crystal system: trigonal


- The highest raw total energy belongs to which entry?
  K2SiWO6


- Number 2 is which compound?
  KSiWO6